(1)
Pm4Nd2Er5 | GGA-PBE | optimized geometry

Crystal system = triclinic
Total energy = -4.618 eV per atom

a b c (Å): 3.556 8.730 12.088
angles (deg): 90.77 98.42 101.72
Space group P-1 (No. 2)
Unique sites:
1 Pm 0.113 0.075 0.148 x2
2 Pm 0.208 0.847 0.570 x2
3 Nd 0.449 0.212 0.690 x2
4 Er 0.162 0.560 0.765 x2
5 Er 0.358 0.675 0.042 x2
6 Er 0.500 0.500 0.500 x1

***

(2)
TeOsRh | GGA-PBE | optimized geometry

Crystal system = orthorhombic
Total energy = -6.581 eV per atom

a b c (Å): 3.063 4.042 8.215
angles (deg): 90.00 90.00 90.00
Space group Imm2 (No. 44)
Unique sites:
1 Te 0.000 0.000 0.000 x2
2 Os 0.000 0.000 0.327 x2
3 Rh 0.000 0.000 0.683 x2